First-principles (GGA-PBE) data for crystalline BaPr2Nd at its relaxed geometry, as listed in the Alexandria database.

Properties
* N(E_F): 1.572 states/eV per atom
* total magnetization: 0.0 Bohr magnetons per cell
* E above lowest polymorph: 6 kJ/mol of formula units
* electronic total energy: -0.1451 Ha/atom
* calculated density: 5.8 g/cm³
* formation enthalpy at 0 K: 0.1127 eV/atom

a = 12.8216 Å, b = 12.8216 Å, c = 12.8216 Å
α = 17.20°, β = 17.20°, γ = 17.20°
Atoms (fractional coordinates):
Ba: 0.0000 0.0000 0.0000
Pr: 0.4226 0.4226 0.4226
Pr: 0.5768 0.5768 0.5768
Nd: 0.8333 0.8333 0.8333